No. 1
Density functional theory data (PBEsol) for an optimized crystal structure of Al4CoHg.

a = 5.1622 Å, b = 5.1622 Å, c = 5.1622 Å
α = 60.00°, β = 60.00°, γ = 60.00°
Fractional positions:
Al 0.1240 0.1240 0.1240
Al 0.1240 0.1240 0.6280
Al 0.1240 0.6280 0.1240
Al 0.6280 0.1240 0.1240
Co 0.7500 0.7500 0.7500
Hg 0.5000 0.5000 0.5000

Properties
- VASP energy: -3.77 eV/atom
- V: 97.3 Å³/cell
- Magnetization: 1.04 μB/f.u.

***

No. 2
Density functional theory data (PBEsol) for an optimized crystal structure of TaTe2Ru2.

a = 8.4778 Å, b = 8.4778 Å, c = 8.4778 Å
α = 156.58°, β = 156.58°, γ = 33.36°
Fractional positions:
Ta 0.0000 0.0000 0.0000
Te 0.3979 0.3979 0.0000
Te 0.6021 0.6021 0.0000
Ru 0.2500 0.7500 0.5000
Ru 0.7500 0.2500 0.5000

Properties
- VASP energy: -7.37 eV/atom
- V: 96.2 Å³/cell
- Magnetization: 0.01 μB/f.u.
- Formation energy from raw total energies: 0.62 eV/atom

***

> What is the formula in the second record?

TaTe2Ru2